Material: Tm6Sn2N
Method: DFT, PBE-GGA
State: optimized geometry

Output
Formation energy from raw total energies = -0.59 eV/atom
Energy = -48.5 eV for the cell shown
Size of the total moment = 0.1278 μB/atom
SG = Amm2

Cell and atoms, written as extended XYZ:
```
9
Lattice="-2.329 -2.139 -1.504 5.604 -1.433 -6.638 0.091 -5.020 6.999" Properties=species:S:1:pos:R:3 pbc="T T T"
N 3.602 -2.289 -6.398
Sn 3.911 -2.700 -2.215
Sn 2.033 -3.817 2.280
Tm 2.196 -1.929 -4.733
Tm -0.963 -4.100 3.246
Tm 0.028 -1.072 1.481
Tm 1.450 -0.371 -1.717
Tm 1.283 -3.714 -0.780
Tm 4.489 -5.080 0.274
```

---

Material: Tm5Sn2N
Method: DFT, PBE-GGA
State: optimized geometry

Output
Formation energy from raw total energies = -0.36 eV/atom
Energy = -83.1 eV for the cell shown
Size of the total moment = 0.0000 μB/atom
SG = Cmcm

Cell and atoms, written as extended XYZ:
```
16
Lattice="4.666 0.000 0.000 -2.333 8.267 0.000 0.000 0.000 11.896" Properties=species:S:1:pos:R:3 pbc="T T T"
N 2.333 4.622 8.922
N 0.000 3.645 2.974
Sn 2.333 7.050 1.588
Sn 0.000 1.217 10.308
Sn 0.000 1.217 7.536
Sn 2.333 7.050 4.360
Tm 2.333 3.174 6.967
Tm 0.000 5.093 4.930
Tm 0.000 4.483 8.922
Tm 2.333 6.424 10.566
Tm 0.000 1.843 1.331
Tm 2.333 3.174 10.878
Tm 2.333 6.424 7.279
Tm 2.333 3.784 2.974
Tm 0.000 5.093 1.018
Tm 0.000 1.843 4.617
```

---

Material: Tm2SnN
Method: DFT, PBE-GGA
State: optimized geometry

Output
Formation energy from raw total energies = -1.20 eV/atom
Energy = -26.1 eV for the cell shown
Size of the total moment = 0.0000 μB/atom
SG = R-3m

Cell and atoms, written as extended XYZ:
```
4
Lattice="3.480 0.000 0.000 1.740 3.014 0.000 1.740 1.005 7.583" Properties=species:S:1:pos:R:3 pbc="T T T"
Sn 3.480 2.009 3.792
Tm 5.220 3.014 6.296
Tm 1.740 1.005 1.287
N 0.000 0.000 0.000
```

---

Material: Tm2SnN
Method: DFT, PBE-GGA
State: optimized geometry

Output
Formation energy from raw total energies = -0.58 eV/atom
Energy = -23.6 eV for the cell shown
Size of the total moment = 0.0000 μB/atom
SG = P4/mmm

Cell and atoms, written as extended XYZ:
```
4
Lattice="3.109 0.000 0.000 0.000 3.109 0.000 0.000 0.000 7.655" Properties=species:S:1:pos:R:3 pbc="T T T"
Tm 0.000 0.000 6.239
Tm 0.000 0.000 1.417
Sn 1.554 1.554 3.828
N 1.554 1.554 0.000
```

---

Material: TmSnN
Method: DFT, PBE-GGA
State: optimized geometry

Output
Formation energy from raw total energies = -0.16 eV/atom
Energy = -69.1 eV for the cell shown
Size of the total moment = 0.0000 μB/atom
SG = Fddd

Cell and atoms, written as extended XYZ:
```
12
Lattice="2.435 6.062 4.070 -5.522 -4.615 -2.729 2.277 -5.897 6.595" Properties=species:S:1:pos:R:3 pbc="T T T"
Tm -2.595 -0.688 -0.228
Tm -0.492 2.134 1.569
Tm 0.533 -0.967 4.770
Tm 2.636 1.855 6.567
N -2.740 -1.724 1.805
N 1.159 -2.365 6.467
N 0.021 0.583 3.169
N -0.058 -5.396 4.432
Sn -0.979 -3.258 6.262
Sn 0.169 -1.193 1.675
Sn -2.563 -3.702 0.593
Sn -2.225 -6.087 3.944
```

---

Material: TmSnN2
Method: DFT, PBE-GGA
State: optimized geometry

Output
Formation energy from raw total energies = -0.36 eV/atom
Energy = -26.6 eV for the cell shown
Size of the total moment = 0.0000 μB/atom
SG = R3m

Cell and atoms, written as extended XYZ:
```
4
Lattice="-0.556 -2.817 -1.745 2.289 -2.460 0.006 -1.983 -4.131 4.066" Properties=species:S:1:pos:R:3 pbc="T T T"
N -0.090 -2.377 0.632
N -1.372 -3.565 2.957
Sn -0.794 -7.617 2.845
Tm -0.103 -4.683 1.123
```